Entry 1:
The following is a DFT calculation (PBE-GGA) of a relaxed TmMg5Cd6 crystal.

## Properties
For the magnetic moment, the calculation gives 0.00 μB per formula unit. For the calculated formation energy, the calculation gives -147 meV per atom. The volume is 22.21 Å³/atom.

abc: 7.6366 7.6366 7.6485
angles: 90.00 90.00 143.31
With the nearest neighbours (Å) after each atom.
Atoms (fractional coordinates):
Tm 0.0000 0.0000 0.0000  8 Cd 3.12-3.14, 4 Mg 3.40
Mg 0.0000 0.0000 0.5000  8 Cd 3.01-3.10
Mg 0.3310 0.6690 0.5000  8 Cd 3.02-3.06, 2 Mg 3.36
Mg 0.3346 0.6654 0.0000  8 Cd 3.07-3.13, 2 Tm 3.40, 2 Mg 3.43
Mg 0.6654 0.3346 0.0000  8 Cd 3.07-3.13, 2 Tm 3.40, 2 Mg 3.43
Mg 0.6690 0.3310 0.5000  8 Cd 3.02-3.06, 2 Mg 3.36
Cd 0.1694 0.8306 0.2518  7 Mg 3.02-3.10, 1 Tm 3.12, 2 Cd 3.35
Cd 0.1694 0.8306 0.7482  7 Mg 3.02-3.10, 1 Tm 3.12, 2 Cd 3.35
Cd 0.5000 0.5000 0.2638  6 Mg 3.01-3.13, 2 Tm 3.14
Cd 0.5000 0.5000 0.7362  6 Mg 3.01-3.13, 2 Tm 3.14
Cd 0.8306 0.1694 0.2518  7 Mg 3.02-3.10, 1 Tm 3.12, 2 Cd 3.35
Cd 0.8306 0.1694 0.7482  7 Mg 3.02-3.10, 1 Tm 3.12, 2 Cd 3.35



Entry 2:
The following is a DFT calculation (PBE-GGA) of a relaxed Tm4Mg5Cd2 crystal.

## Properties
For the magnetic moment, the calculation gives 0.00 μB per formula unit. For the calculated formation energy, the calculation gives -85 meV per atom. The volume is 25.79 Å³/atom.

abc: 7.9736 3.4025 10.4785
angles: 90.00 93.85 90.00
With the nearest neighbours (Å) after each atom.
Atoms (fractional coordinates):
Tm 0.1574 0.0000 0.3869  2 Cd 3.18, 8 Mg 3.33-3.41, 2 Tm 3.40
Tm 0.2805 0.0000 0.9470  4 Cd 3.25, 6 Mg 3.37-3.41, 3 Tm 3.40-3.60
Tm 0.7195 0.0000 0.0530  4 Cd 3.25, 6 Mg 3.37-3.41, 3 Tm 3.40-3.60
Tm 0.8426 0.0000 0.6131  2 Cd 3.18, 8 Mg 3.33-3.41, 2 Tm 3.40
Mg 0.2000 0.5000 0.6671  1 Cd 2.99, 2 Mg 3.06-3.15, 2 Tm 3.33
Mg 0.4297 0.5000 0.2084  1 Cd 3.02, 2 Mg 3.07-3.15, 4 Tm 3.37-3.38
Mg 0.5000 0.5000 0.5000  6 Mg 3.06-3.40, 4 Tm 3.37
Mg 0.5703 0.5000 0.7916  1 Cd 3.02, 2 Mg 3.07-3.15, 4 Tm 3.37-3.38
Mg 0.8000 0.5000 0.3329  1 Cd 2.99, 2 Mg 3.06-3.15, 2 Tm 3.33
Cd 0.0559 0.5000 0.1376  1 Cd 2.96, 2 Mg 2.99-3.02, 6 Tm 3.18-3.25
Cd 0.9441 0.5000 0.8624  1 Cd 2.96, 2 Mg 2.99-3.02, 6 Tm 3.18-3.25



Entry 3:
The following is a DFT calculation (PBE-GGA) of a relaxed TmMgCd crystal.

## Properties
For the magnetic moment, the calculation gives 0.01 μB per formula unit. For the calculated formation energy, the calculation gives -160 meV per atom. The volume is 24.48 Å³/atom.

abc: 3.4930 12.0544 3.4877
angles: 90.00 90.00 90.00
With the nearest neighbours (Å) after each atom.
Atoms (fractional coordinates):
Tm 0.0000 0.1012 0.0000  4 Cd 3.22, 8 Tm 3.47-3.49
Tm 0.5000 0.8988 0.5000  4 Cd 3.22, 8 Tm 3.47-3.49
Mg 0.0000 0.4181 0.9970  4 Cd 3.02-3.03, 4 Mg 3.16
Mg 0.5000 0.5819 0.4970  4 Cd 3.02-3.03, 4 Mg 3.16
Cd 0.0000 0.7270 0.9990  4 Mg 3.02-3.03, 4 Tm 3.22
Cd 0.5000 0.2730 0.4990  4 Mg 3.02-3.03, 4 Tm 3.22



Entry 4:
The following is a DFT calculation (PBE-GGA) of a relaxed TmMgCd14 crystal.

## Properties
For the magnetic moment, the calculation gives 0.00 μB per formula unit. For the calculated formation energy, the calculation gives -65 meV per atom. The volume is 22.72 Å³/atom.

abc: 6.4968 6.4968 8.6112
angles: 90.00 90.00 90.00
With the nearest neighbours (Å) after each atom.
Atoms (fractional coordinates):
Tm 0.0000 0.0000 0.0000  12 Cd 3.18-3.25
Mg 0.5000 0.5000 0.0000  12 Cd 3.15-3.25
Cd 0.0000 0.0000 0.5000  12 Cd 3.15-3.25
Cd 0.0000 0.5000 0.0000  8 Cd 3.16, 2 Mg 3.25, 2 Tm 3.25
Cd 0.0000 0.5000 0.5000  12 Cd 3.13-3.25
Cd 0.2522 0.2522 0.2528  10 Cd 3.12-3.28, 1 Mg 3.15, 1 Tm 3.18
Cd 0.2522 0.2522 0.7472  10 Cd 3.12-3.28, 1 Mg 3.15, 1 Tm 3.18
Cd 0.2522 0.7478 0.2528  10 Cd 3.12-3.28, 1 Mg 3.15, 1 Tm 3.18
Cd 0.2522 0.7478 0.7472  10 Cd 3.12-3.28, 1 Mg 3.15, 1 Tm 3.18
Cd 0.5000 0.0000 0.0000  8 Cd 3.16, 2 Mg 3.25, 2 Tm 3.25
Cd 0.5000 0.0000 0.5000  12 Cd 3.13-3.25
Cd 0.5000 0.5000 0.5000  12 Cd 3.12-3.25
Cd 0.7478 0.2522 0.2528  10 Cd 3.12-3.28, 1 Mg 3.15, 1 Tm 3.18
Cd 0.7478 0.2522 0.7472  10 Cd 3.12-3.28, 1 Mg 3.15, 1 Tm 3.18
Cd 0.7478 0.7478 0.2528  10 Cd 3.12-3.28, 1 Mg 3.15, 1 Tm 3.18
Cd 0.7478 0.7478 0.7472  10 Cd 3.12-3.28, 1 Mg 3.15, 1 Tm 3.18



Entry 5:
The following is a DFT calculation (PBE-GGA) of a relaxed Tm2MgCd5 crystal.

## Properties
For the magnetic moment, the calculation gives 0.51 μB per formula unit. For the calculated formation energy, the calculation gives -195 meV per atom. The volume is 23.20 Å³/atom.

abc: 8.7720 8.7720 8.7720
angles: 148.32 148.32 45.42
With the nearest neighbours (Å) after each atom.
Atoms (fractional coordinates):
Tm 0.2482 0.2482 0.0000  8 Cd 3.18-3.22, 4 Tm 3.39
Tm 0.7518 0.7518 0.0000  8 Cd 3.18-3.22, 4 Tm 3.39
Mg 0.5000 0.5000 0.0000  12 Cd 3.07-3.39
Cd 0.0000 0.0000 0.0000  8 Cd 3.07, 4 Mg 3.39
Cd 0.1187 0.6187 0.5000  6 Cd 3.07-3.39, 2 Mg 3.07, 4 Tm 3.18-3.22
Cd 0.3813 0.8813 0.5000  6 Cd 3.07-3.39, 2 Mg 3.07, 4 Tm 3.18-3.22
Cd 0.6187 0.1187 0.5000  6 Cd 3.07-3.39, 2 Mg 3.07, 4 Tm 3.18-3.22
Cd 0.8813 0.3813 0.5000  6 Cd 3.07-3.39, 2 Mg 3.07, 4 Tm 3.18-3.22



Entry 6:
The following is a DFT calculation (PBE-GGA) of a relaxed TmMg2Cd crystal.

## Properties
For the magnetic moment, the calculation gives 0.00 μB per formula unit. For the calculated formation energy, the calculation gives -86 meV per atom. The volume is 23.11 Å³/atom. As for the energy relative to the lowest polymorph listed for this composition: 0.081 eV per atom.

abc: 5.0753 5.0753 5.0753
angles: 60.00 60.00 60.00
With the nearest neighbours (Å) after each atom.
Atoms (fractional coordinates):
Tm 0.0000 0.0000 0.0000  8 Mg 3.11
Mg 0.2500 0.2500 0.2500  4 Cd 3.11, 4 Tm 3.11
Mg 0.7500 0.7500 0.7500  4 Cd 3.11, 4 Tm 3.11
Cd 0.5000 0.5000 0.5000  8 Mg 3.11



Entry 7:
The following is a DFT calculation (PBE-GGA) of a relaxed Tm2Mg2Cd15 crystal.

## Properties
For the magnetic moment, the calculation gives 0.00 μB per formula unit. For the calculated formation energy, the calculation gives -77 meV per atom. The volume is 22.85 Å³/atom.

abc: 7.6573 7.6573 7.6573
angles: 81.03 81.03 81.03
With the nearest neighbours (Å) after each atom.
Atoms (fractional coordinates):
Tm 0.1707 0.1707 0.1707  1 Mg 3.45, 15 Cd 3.51-3.79
Tm 0.8293 0.8293 0.8293  1 Mg 3.45, 15 Cd 3.51-3.79
Mg 0.3979 0.3979 0.3979  12 Cd 3.03-3.35, 1 Mg 3.10
Mg 0.6021 0.6021 0.6021  12 Cd 3.03-3.35, 1 Mg 3.10
Cd 0.0000 0.5000 0.5000  8 Cd 2.95-2.96, 2 Mg 3.03
Cd 0.1346 0.1346 0.6568  6 Cd 2.85-2.96
Cd 0.1346 0.6568 0.1346  6 Cd 2.85-2.96
Cd 0.2020 0.5000 0.7980  8 Cd 2.95-3.29
Cd 0.2020 0.7980 0.5000  8 Cd 2.95-3.29
Cd 0.3432 0.8654 0.8654  6 Cd 2.85-2.96
Cd 0.5000 0.0000 0.5000  8 Cd 2.95-2.96, 2 Mg 3.03
Cd 0.5000 0.2020 0.7980  8 Cd 2.95-3.29
Cd 0.5000 0.5000 0.0000  8 Cd 2.95-2.96, 2 Mg 3.03
Cd 0.5000 0.7980 0.2020  8 Cd 2.95-3.29
Cd 0.6568 0.1346 0.1346  6 Cd 2.85-2.96
Cd 0.7980 0.2020 0.5000  8 Cd 2.95-3.29
Cd 0.7980 0.5000 0.2020  8 Cd 2.95-3.29
Cd 0.8654 0.3432 0.8654  6 Cd 2.85-2.96
Cd 0.8654 0.8654 0.3432  6 Cd 2.85-2.96



Entry 8:
The following is a DFT calculation (PBE-GGA) of a relaxed TmMgCd6 crystal.

## Properties
For the magnetic moment, the calculation gives 0.00 μB per formula unit. For the calculated formation energy, the calculation gives -154 meV per atom. The volume is 22.81 Å³/atom. As for the energy relative to the lowest polymorph listed for this composition: 0.000 eV per atom.

abc: 4.8512 6.3509 6.3509
angles: 68.85 90.00 90.00
With the nearest neighbours (Å) after each atom.
Atoms (fractional coordinates):
Tm 0.0000 0.0000 0.0000  10 Cd 3.11-3.29
Mg 0.5000 0.2499 0.2499  10 Cd 3.07-3.33
Cd 0.0000 0.4408 0.4408  8 Cd 3.03-3.33, 2 Mg 3.14
Cd 0.0000 0.5084 0.9364  7 Cd 3.01-3.33, 2 Tm 3.11-3.29, 2 Mg 3.19
Cd 0.0000 0.9364 0.5084  7 Cd 3.01-3.33, 2 Tm 3.11-3.29, 2 Mg 3.19
Cd 0.5000 0.3158 0.7467  7 Cd 3.03-3.29, 2 Mg 3.07-3.33, 2 Tm 3.19
Cd 0.5000 0.7467 0.3158  7 Cd 3.03-3.29, 2 Mg 3.07-3.33, 2 Tm 3.19
Cd 0.5000 0.8079 0.8079  8 Cd 3.01-3.29, 2 Tm 3.15



Entry 9:
The following is a DFT calculation (PBE-GGA) of a relaxed Tm2Mg2Cd3 crystal.

## Properties
For the magnetic moment, the calculation gives 0.00 μB per formula unit. For the calculated formation energy, the calculation gives -119 meV per atom. The volume is 25.31 Å³/atom.

abc: 5.0793 5.0829 8.4252
angles: 90.46 107.13 119.82
With the nearest neighbours (Å) after each atom.
Atoms (fractional coordinates):
Tm 0.2286 0.1126 0.3421  7 Cd 3.01-3.20
Tm 0.7714 0.8874 0.6579  7 Cd 3.01-3.20
Mg 0.2627 0.6339 0.8954  5 Cd 2.83-3.17
Mg 0.7373 0.3661 0.1046  5 Cd 2.83-3.17
Cd 0.0000 0.5000 0.5000  2 Mg 3.13, 6 Tm 3.18-3.20
Cd 0.4968 0.2508 0.7466  4 Mg 2.83-3.17, 3 Tm 3.01-3.02
Cd 0.5032 0.7492 0.2534  4 Mg 2.83-3.17, 3 Tm 3.01-3.02



Entry 10:
The following is a DFT calculation (PBE-GGA) of a relaxed Tm3Mg6Cd2 crystal.

## Properties
For the magnetic moment, the calculation gives 0.67 μB per formula unit. For the calculated formation energy, the calculation gives 59 meV per atom. The volume is 26.40 Å³/atom.

abc: 17.0645 17.0645 17.0645
angles: 166.01 166.01 19.84
With the nearest neighbours (Å) after each atom.
Atoms (fractional coordinates):
Tm 0.0000 0.0000 0.0000  8 Mg 3.36
Tm 0.1683 0.1683 0.0000  4 Cd 3.08
Tm 0.8317 0.8317 0.0000  4 Cd 3.08
Mg 0.0786 0.5786 0.5000  4 Mg 2.94, 2 Cd 2.96
Mg 0.2713 0.2713 0.0000  1 Cd 2.93, 4 Mg 3.27
Mg 0.4214 0.9214 0.5000  4 Mg 2.94, 2 Cd 2.96
Mg 0.5786 0.0786 0.5000  4 Mg 2.94, 2 Cd 2.96
Mg 0.7287 0.7287 0.0000  1 Cd 2.93, 4 Mg 3.27
Mg 0.9214 0.4214 0.5000  4 Mg 2.94, 2 Cd 2.96
Cd 0.3586 0.3586 0.0000  5 Mg 2.93-2.96, 4 Tm 3.08
Cd 0.6414 0.6414 0.0000  5 Mg 2.93-2.96, 4 Tm 3.08



Number 1: D(E_F) 0.420 states/eV/atom. Number 2: D(E_F) 0.887 states/eV/atom. Number 3: D(E_F) 0.869 states/eV/atom. Number 4: D(E_F) 0.294 states/eV/atom. Number 5: D(E_F) 0.546 states/eV/atom. Number 6: D(E_F) 0.515 states/eV/atom. Number 7: D(E_F) 0.342 states/eV/atom. Number 8: D(E_F) 0.285 states/eV/atom. Number 9: D(E_F) 0.796 states/eV/atom. Number 10: D(E_F) 0.737 states/eV/atom.